VASP calculation (GGA-PBEsol) on crystalline Fe2CoW at its relaxed geometry.

Geometry as POSCAR:
```
Fe2CoW
1.0
-1.791 -1.397 1.169
1.091 -2.853 -1.738
3.284 -1.046 3.780
Fe W Co
2 1 1
direct
0.500 0.500 0.226
0.000 0.000 0.004
0.000 0.000 0.503
0.500 0.500 0.767
```

Results
The calculation puts the relative energy among the computed polymorphs at 116 meV per atom. As for the space group: Pmm2, No. 25. The value obtained for the mass density is 12.82 g/cm³.

---

VASP calculation (GGA-PBEsol) on crystalline AlAg3 at its relaxed geometry.

Geometry as POSCAR:
```
AlAg3
1.0
3.079 0.000 0.000
0.000 4.595 0.000
-1.540 -2.297 4.572
Ag Al
3 1
direct
0.500 0.000 0.000
0.264 0.264 0.528
0.736 0.736 0.472
0.000 0.500 0.000
```

Results
As for the space group: Immm, No. 71. The value obtained for the mass density is 9.00 g/cm³. The value obtained for the total energy is -14.4 eV per cell.

---

The calculation returns the following DOS(E_F) values, one per record and in order: 1.02 0.23 states/eV/atom.